(1)
Density functional theory data (PBE) for Ni2PdS after structural relaxation.

Cell and atoms, written as CIF:
```
data_Ni2PdS
_cell_length_a 6.614
_cell_length_b 6.614
_cell_length_c 4.862
_cell_angle_alpha 90.00
_cell_angle_beta 90.00
_cell_angle_gamma 90.00
_symmetry_space_group_name_H-M 'I -4 2 d'
_symmetry_Int_Tables_number 122
_symmetry_space_group_name_Hall 'I -4 2bw'
loop_
_atom_site_label
_atom_site_fract_x
_atom_site_fract_y
_atom_site_fract_z
Ni1 0.191 0.750 0.125
Pd1 0.000 0.000 0.500
S1 0.000 0.000 0.000
```

total DFT energy (no corrections): -5.278 eV/atom
formation energy (no corrections): -58 meV/atom
ρ: 7990 kg/m³

(2)
Density functional theory data (PBE) for NiPd3S after structural relaxation.

Cell and atoms, written as CIF:
```
data_NiPd3S
_cell_length_a 4.562
_cell_length_b 4.562
_cell_length_c 4.562
_cell_angle_alpha 90.00
_cell_angle_beta 90.00
_cell_angle_gamma 90.00
_symmetry_space_group_name_H-M 'P m -3 m'
_symmetry_Int_Tables_number 221
_symmetry_space_group_name_Hall '-P 4 2 3'
loop_
_atom_site_label
_atom_site_fract_x
_atom_site_fract_y
_atom_site_fract_z
Ni1 0.000 0.000 0.000
Pd1 0.000 0.000 0.500
S1 0.500 0.500 0.500
```

excess energy over the best structure of this formula in the dataset: 1.0050 eV per atom
total DFT energy (no corrections): -4.135 eV/atom
formation energy (no corrections): 962 meV/atom
ρ: 7170 kg/m³

(3)
Density functional theory data (PBE) for NiPdS2 after structural relaxation.

Cell and atoms, written as CIF:
```
data_NiPdS2
_cell_length_a 5.320
_cell_length_b 5.320
_cell_length_c 10.115
_cell_angle_alpha 90.00
_cell_angle_beta 90.00
_cell_angle_gamma 90.00
_symmetry_space_group_name_H-M 'I -4 2 d'
_symmetry_Int_Tables_number 122
_symmetry_space_group_name_Hall 'I -4 2bw'
loop_
_atom_site_label
_atom_site_fract_x
_atom_site_fract_y
_atom_site_fract_z
Ni1 0.000 0.000 0.000
Pd1 0.000 0.000 0.500
S1 0.219 0.250 0.125
```

excess energy over the best structure of this formula in the dataset: 0.0095 eV per atom
total DFT energy (no corrections): -5.030 eV/atom
formation energy (no corrections): -222 meV/atom
ρ: 5319 kg/m³